TmInSn: optimized geometry, PBE-GGA.

ΔE to the lowest computed polymorph ... 151 meV/atom

The structure in POSCAR format:
```
TmInSn
1.0
-4.1352 1.2520 -1.8086
-0.4971 -4.9161 3.7986
-0.9384 3.7682 4.7540
Tm In Sn
2 2 2
Direct
0.6419 0.7838 0.7500
0.3581 0.2162 0.2500
0.0393 0.5786 0.2500
0.9607 0.4214 0.7500
0.6835 0.8669 0.2500
0.3165 0.1331 0.7500
```

=====

TmIn2Sn2: optimized geometry, PBE-GGA.

ΔE to the lowest computed polymorph ... 43 meV/atom

The structure in POSCAR format:
```
TmIn2Sn2
1.0
3.9715 -0.0089 0.9677
-0.2473 3.9645 0.9673
0.0179 0.0182 8.4342
Tm In Sn
1 2 2
Direct
0.1998 0.9999 0.0000
0.0047 0.8042 0.3944
0.3960 0.1959 0.6056
0.7988 0.5991 0.8003
0.6006 0.4009 0.1998
```

=====

TmZnInSn: optimized geometry, PBE-GGA.

The structure in POSCAR format:
```
TmZnInSn
1.0
4.4384 0.0000 0.0000
0.0000 4.6043 0.0000
0.0000 0.0000 4.4475
Tm Zn In Sn
1 1 1 1
Direct
0.5000 0.0000 0.5000
0.5000 0.5000 0.0000
0.0000 0.5000 0.5000
0.0000 0.0000 0.0000
```

=====

UIn2Sn: optimized geometry, PBE-GGA.

ΔE to the lowest computed polymorph ... 0 meV/atom

The structure in POSCAR format:
```
UIn2Sn
1.0
-3.7403 -1.2227 2.7860
-1.8623 -2.2400 -3.4834
2.1777 -3.7784 1.2655
U Sn In
1 1 2
Direct
0.5000 0.0000 0.0000
0.5000 0.5000 0.5000
0.0000 0.0000 0.5000
0.0000 0.5000 0.0000
```

=====

UIn2Sn: optimized geometry, PBE-GGA.

ΔE to the lowest computed polymorph ... 106 meV/atom

The structure in POSCAR format:
```
UIn2Sn
1.0
4.3954 0.0000 0.0000
0.0000 4.4820 0.0000
-2.1977 -2.2410 5.1412
U In Sn
1 2 1
Direct
0.0000 0.0000 0.0000
0.2492 0.7492 0.4984
0.7508 0.2508 0.5016
0.5000 0.5000 0.0000
```

=====

U2InSn: optimized geometry, PBE-GGA.

The structure in POSCAR format:
```
U2InSn
1.0
5.1098 0.0000 0.0000
0.0000 4.2817 0.0000
0.0000 0.0000 4.2817
U Sn In
2 1 1
Direct
0.0000 0.0000 0.5000
0.0000 0.5000 0.0000
0.5000 0.5000 0.5000
0.5000 0.0000 0.0000
```

=====

UIn2Sn: optimized geometry, PBE-GGA.

ΔE to the lowest computed polymorph ... 363 meV/atom

The structure in POSCAR format:
```
UIn2Sn
1.0
5.3278 0.0000 0.0000
2.6639 4.6140 0.0000
2.6639 1.5380 4.3458
U Sn In
1 1 2
Direct
0.5000 0.5000 0.5000
0.0000 0.0000 0.0000
0.2499 0.2499 0.2503
0.7501 0.7501 0.7497
```

=====

UInSn2: optimized geometry, PBE-GGA.

ΔE to the lowest computed polymorph ... 474 meV/atom

The structure in POSCAR format:
```
UInSn2
1.0
-0.5015 2.8914 1.1222
-0.8210 0.3977 3.0065
11.5995 1.9527 4.5507
U Sn In
1 2 1
Direct
0.0000 0.0000 0.0000
0.0866 0.0866 0.7401
0.9134 0.9134 0.2599
0.5000 0.5000 0.5000
```

=====

no.,formation energy from the elements (eV per atom)
1,-0.312
2,-0.221
3,-0.370
4,-0.067
5,0.039
6,0.101
7,0.297
8,0.364